Entry 1:
A relaxed Ni2AgRh crystal, computed with GGA-PBE.

Calculated volume: 221.18 Å³/cell
Density: 9.85 g cm⁻³
Magnetization: 9.11 Bohr magnetons per cell
ΔE_f: 137.7 kJ/mol of formula units

abc: 6.048 6.048 6.048
angles: 90.00 90.00 90.00
Atoms (fractional coordinates):
Ni1 0.000 0.000 0.000
Ni2 0.000 0.500 0.500
Ni3 0.250 0.250 0.250
Ni4 0.250 0.750 0.750
Ni5 0.500 0.000 0.500
Ni6 0.500 0.500 0.000
Ni7 0.750 0.250 0.750
Ni8 0.750 0.750 0.250
Ag1 0.000 0.000 0.500
Ag2 0.000 0.500 0.000
Ag3 0.500 0.000 0.000
Ag4 0.500 0.500 0.500
Rh1 0.250 0.250 0.750
Rh2 0.250 0.750 0.250
Rh3 0.750 0.250 0.250
Rh4 0.750 0.750 0.750

=====

Entry 2:
A relaxed ZrCdOs crystal, computed with GGA-PBE.

Calculated volume: 113.12 Å³/cell
Density: 11.56 g cm⁻³
Magnetization: 0.00 Bohr magnetons per cell
ΔE_f: -6.1 kJ/mol of formula units

abc: 4.678 4.678 5.970
angles: 90.00 90.00 120.00
Atoms (fractional coordinates):
Zr1 0.000 0.000 0.000
Zr2 0.333 0.667 0.676
Cd1 0.000 0.000 0.490
Cd2 0.667 0.333 0.312
Os1 0.333 0.667 0.114
Os2 0.667 0.333 0.818

=====

Entry 3:
A relaxed TlTcI2N crystal, computed with GGA-PBE.

Calculated volume: 155.70 Å³/cell
Formation energy (no corrections): 1.5778 eV/atom
Density: 6.08 g cm⁻³
Magnetization: 4.53 Bohr magnetons per cell

abc: 6.252 6.252 3.984
angles: 90.00 90.00 90.00
Atoms (fractional coordinates):
Tl1 0.000 0.000 0.000
Tc1 0.500 0.500 0.500
I1 0.000 0.500 0.000
I2 0.500 0.000 0.000
N1 0.000 0.000 0.500

=====

Entry 4:
A relaxed La8InTc2 crystal, computed with GGA-PBE.

Calculated volume: 337.30 Å³/cell
Density: 7.00 g cm⁻³
Magnetization: 0.00 Bohr magnetons per cell
ΔE_f: -67.1 kJ/mol of formula units

abc: 5.763 6.995 9.432
angles: 69.59 72.26 89.58
Atoms (fractional coordinates):
La1 0.000 0.000 0.000
La2 0.023 0.473 0.942
La3 0.224 0.381 0.551
La4 0.377 0.895 0.251
La5 0.422 0.471 0.139
La6 0.601 0.983 0.796
La7 0.702 0.604 0.591
La8 0.810 0.185 0.372
In1 0.189 0.888 0.617
Tc1 0.539 0.258 0.920
Tc2 0.850 0.568 0.281